[1]
First-principles (PBE-GGA) data for a relaxed structure of AsIrAuClO, as listed in the Alexandria database.

POSCAR file:
```
AsIrAuClO
1.0
2.856 0.000 0.000
0.000 4.910 0.000
-1.211 0.000 13.574
As Ir Au Cl O
2 2 2 2 2
Cartesian
1.880 0.000 1.786
1.274 2.455 8.573
0.735 0.000 11.685
1.340 2.455 4.898
-0.099 0.000 4.845
-0.705 2.455 11.632
0.725 0.000 9.407
1.330 2.455 2.620
1.986 0.000 0.079
1.381 2.455 6.866
```

Summary:
* uncorrected formation energy: -45 meV/atom
* V: 19.03 Å³ per atom
* DOS at the Fermi energy: 0.77 states/eV per atom
* space-group type: Cm (8)
* E_tot: -4.76 eV/atom
* relative energy among the computed polymorphs: 0.252 eV per atom

[2]
First-principles (PBE-GGA) data for a relaxed structure of Pr2Dy6YTm, as listed in the Alexandria database.

POSCAR file:
```
Pr2Dy6YTm
1.0
9.194 -2.155 -2.237
0.774 8.528 -2.044
0.774 -2.359 8.447
Pr Dy Y Tm
4 12 2 2
Cartesian
5.373 4.236 3.237
0.773 2.014 0.931
5.370 -0.222 0.929
9.970 2.000 3.234
1.200 -0.796 5.901
4.945 -0.835 5.861
9.542 4.810 -1.735
5.797 4.849 -1.695
3.948 6.679 0.888
2.198 4.452 -1.423
6.795 -2.664 3.278
8.544 -0.438 5.588
2.027 4.612 2.496
4.119 2.768 0.583
8.716 -0.598 1.670
6.624 1.246 3.583
3.073 7.800 -2.420
7.670 -3.786 6.586
3.073 1.535 3.617
7.670 2.480 0.549
```

Summary:
* V: 32.72 Å³ per atom
* DOS at the Fermi energy: 1.34 states/eV per atom
* space-group type: C2/c (15)
* formation enthalpy at 0 K: 0.114 eV per atom
* E_tot: -4.70 eV/atom

[3]
First-principles (PBE-GGA) data for a relaxed structure of CeAl8Ni4, as listed in the Alexandria database.

POSCAR file:
```
CeAl8Ni4
1.0
4.727 0.000 1.900
2.364 6.124 0.950
0.080 0.000 6.632
Ce Al Ni
1 8 4
Cartesian
0.000 0.000 0.000
0.867 2.110 4.674
1.577 4.014 2.908
3.230 4.014 5.624
3.940 2.110 3.858
4.218 4.760 3.166
2.952 1.364 6.316
1.855 1.364 2.216
5.316 4.760 7.266
0.040 0.000 3.316
2.403 0.000 4.266
1.182 3.062 0.475
3.545 3.062 1.425
```

Summary:
* V: 14.70 Å³ per atom
* DOS at the Fermi energy: 0.68 states/eV per atom
* space-group type: I4/mmm (139)
* formation enthalpy at 0 K: -0.566 eV per atom
* E_tot: -5.10 eV/atom

[4]
First-principles (PBE-GGA) data for a relaxed structure of AcGaSiAg2, as listed in the Alexandria database.

POSCAR file:
```
AcGaSiAg2
1.0
-0.537 0.060 -4.252
2.786 -3.464 -0.401
-5.563 -1.927 2.836
Ac Ga Si Ag
1 1 1 2
Cartesian
-3.869 -3.163 0.445
-0.290 -3.108 -0.007
-1.784 -4.080 -1.992
-2.118 -1.482 -1.913
-0.450 -0.368 0.052
```

Summary:
* uncorrected formation energy: -353 meV/atom
* V: 22.02 Å³ per atom
* DOS at the Fermi energy: 0.47 states/eV per atom
* space-group type: Imm2 (44)
* E_tot: -4.01 eV/atom

[5]
First-principles (PBE-GGA) data for a relaxed structure of NaAcErTe3, as listed in the Alexandria database.

POSCAR file:
```
NaAcErTe3
1.0
-4.642 -0.171 -0.117
0.262 -8.293 1.724
-0.416 5.231 8.823
Na Ac Er Te
2 2 2 6
Cartesian
-1.378 2.206 5.302
-3.417 -5.439 5.127
-1.205 -0.642 2.621
-3.590 -2.591 7.809
-1.046 -4.933 2.590
-3.749 1.700 7.839
-3.291 -7.110 2.595
-1.504 3.877 7.835
-1.175 -3.378 5.397
-3.621 0.145 5.033
-3.426 -3.059 2.015
-1.369 -0.174 8.414
```

Summary:
* uncorrected formation energy: -1226 meV/atom
* V: 31.85 Å³ per atom
* DOS at the Fermi energy: 0.35 states/eV per atom
* space-group type: P2_1/m (11)
* E_tot: -4.46 eV/atom

[6]
First-principles (PBE-GGA) data for a relaxed structure of HfBi3W, as listed in the Alexandria database.

POSCAR file:
```
HfBi3W
1.0
-2.481 -2.430 4.119
-0.744 -4.388 -3.037
4.725 -1.967 1.684
Hf Bi W
1 3 1
Cartesian
0.750 -4.393 1.383
-0.372 -2.194 -1.519
2.362 -0.984 0.842
-1.240 -1.215 2.060
0.000 0.000 0.000
```

Summary:
* V: 31.28 Å³ per atom
* DOS at the Fermi energy: 1.21 states/eV per atom
* space-group type: Pm-3m (221)
* formation enthalpy at 0 K: 1.246 eV per atom
* E_tot: -5.66 eV/atom
* relative energy among the computed polymorphs: 0.000 eV per atom

[7]
First-principles (PBE-GGA) data for a relaxed structure of AlGa2Te, as listed in the Alexandria database.

POSCAR file:
```
AlGa2Te
1.0
-0.714 1.998 2.323
-2.926 0.092 1.151
1.409 -6.813 8.423
Te Al Ga
1 1 2
Cartesian
-1.115 -2.362 5.948
0.000 0.000 0.000
0.754 -4.938 6.608
-2.985 0.214 5.288
```

Summary:
* uncorrected formation energy: 272 meV/atom
* V: 23.08 Å³ per atom
* DOS at the Fermi energy: 0.33 states/eV per atom
* space-group type: R-3m (166)
* E_tot: -2.96 eV/atom
* relative energy among the computed polymorphs: 0.244 eV per atom

[8]
First-principles (PBE-GGA) data for a relaxed structure of Pm5Nd8Mg, as listed in the Alexandria database.

POSCAR file:
```
Pm5Nd8Mg
1.0
8.184 0.000 -2.738
-4.119 6.988 -2.946
0.054 0.000 8.630
Pm Nd Mg
5 8 1
Cartesian
-1.092 2.153 0.129
3.474 6.248 -3.460
3.889 4.835 1.871
4.119 0.000 2.946
1.968 0.740 7.352
-1.623 5.074 -2.031
7.267 0.708 2.844
5.023 1.847 0.172
3.759 2.782 4.959
1.789 4.206 -0.992
0.921 6.280 3.012
1.673 1.914 2.066
-2.332 5.141 1.752
0.027 3.494 4.315
```

Summary:
* V: 35.33 Å³ per atom
* DOS at the Fermi energy: 1.42 states/eV per atom
* space-group type: I-4 (82)
* formation enthalpy at 0 K: 0.220 eV per atom
* E_tot: -4.32 eV/atom